A plane-wave DFT calculation with PBE was carried out for crystalline ZrTlAsSe2 at its relaxed geometry.

Properties
- Fermi-level density of states: 4.47 states/eV per cell
- Energy above the most stable polymorph in this dataset: 0.0 meV/atom

The structure in POSCAR format:
```
ZrTlAsSe2
1.0
5.268 0.000 0.000
0.000 5.268 0.000
0.000 0.000 5.301
Zr Tl As Se
1 1 1 2
direct
0.000 0.000 0.000
0.500 0.500 0.500
0.000 0.000 0.500
0.000 0.500 0.000
0.500 0.000 0.000
```

A plane-wave DFT calculation with PBE was carried out for crystalline TmMgAgBr6 at its relaxed geometry.

Properties
- Fermi-level density of states: 0.00 states/eV per cell

The structure in POSCAR format:
```
TmMgAgBr6
1.0
6.936 0.000 0.000
-3.468 6.006 0.000
0.000 0.000 12.910
Tm Mg Ag Br
2 2 2 12
direct
0.333 0.667 0.250
0.667 0.333 0.750
0.333 0.667 0.750
0.667 0.333 0.250
0.000 0.000 0.000
0.000 0.000 0.500
0.008 0.355 0.629
0.008 0.653 0.871
0.347 0.355 0.871
0.347 0.992 0.629
0.355 0.008 0.129
0.355 0.347 0.371
0.645 0.653 0.629
0.645 0.992 0.871
0.653 0.008 0.371
0.653 0.645 0.129
0.992 0.347 0.129
0.992 0.645 0.371
```

A plane-wave DFT calculation with PBE was carried out for crystalline YTeMoC2 at its relaxed geometry.

Properties
- Fermi-level density of states: 8.51 states/eV per cell

The structure in POSCAR format:
```
YTeMoC2
1.0
4.367 0.000 0.000
0.000 4.367 0.000
0.000 0.000 5.602
Y Te Mo C
1 1 1 2
direct
0.000 0.000 0.000
0.500 0.500 0.500
0.000 0.000 0.500
0.000 0.500 0.000
0.500 0.000 0.000
```

A plane-wave DFT calculation with PBE was carried out for crystalline Pu2CdSb at its relaxed geometry.

Properties
- Fermi-level density of states: 16.46 states/eV per cell
- Energy above the most stable polymorph in this dataset: 20.6 meV/atom

The structure in POSCAR format:
```
Pu2CdSb
1.0
4.059 0.000 0.000
0.000 4.059 0.000
0.000 0.000 6.436
Pu Cd Sb
2 1 1
direct
0.000 0.000 0.236
0.000 0.000 0.764
0.500 0.500 0.500
0.500 0.500 0.000
```

no.,magnetization (μB per formula unit),VASP energy (eV/atom),uncorrected formation energy (eV/atom)
1,0.00,-4.955,-0.4482
2,0.00,-3.469,-1.3631
3,0.00,-5.277,2.4997
4,11.65,-8.738,-0.3125